(1)
Here is an optimized crystal structure of LiFe2Cl from the Alexandria database. Energies are from PBE-GGA.

abc: 3.1185 3.6243 6.1602
angles: 90.00 90.00 90.00
With the nearest neighbours (Å) after each atom.
Space group Pmmm (No. 47)
Unique sites:
Li: 0.0000 0.0000 0.0000  4 Cl 2.39
Fe: 0.0000 0.5000 0.5000  4 Fe 2.39
Fe: 0.5000 0.0000 0.5000  4 Fe 2.39
Cl: 0.5000 0.5000 0.0000  4 Li 2.39

Values from the calculation:
Raw total energy (eV per formula unit): -20.43
Polymorph energy (0 for the lowest one) (eV per atom): 0.246
Crystal system: orthorhombic
E_form (uncorrected) (eV per atom): 0.06

=====

(2)
Here is an optimized crystal structure of TcPbSe2 from the Alexandria database. Energies are from PBE-GGA.

abc: 3.1422 3.8927 7.0375
angles: 90.00 90.00 90.00
With the nearest neighbours (Å) after each atom.
Space group Pmm2 (No. 25)
Unique sites:
Tc: 0.0000 0.0000 0.0000  5 Se 2.54-2.61
Pb: 0.5000 0.5000 0.3195  5 Se 3.01-3.36, 2 Pb 3.14, 4 Tc 3.36
Se: 0.0000 0.0000 0.6390  1 Tc 2.54
Se: 0.5000 0.5000 0.8923  4 Tc 2.61

Values from the calculation:
Raw total energy (eV per formula unit): -20.27
Polymorph energy (0 for the lowest one) (eV per atom): 0.352
Crystal system: orthorhombic
E_form (uncorrected) (eV per atom): 0.19

=====

(3)
Here is an optimized crystal structure of Tm2ZnGa2Pt5 from the Alexandria database. Energies are from PBE-GGA.

abc: 9.6439 9.6439 3.7478
angles: 90.00 90.00 90.00
With the nearest neighbours (Å) after each atom.
Space group P4/mbm (No. 127)
Unique sites:
Tm: 0.1743 0.3257 0.0000  3 Ga 2.73-2.93, 2 Pt 3.03
Zn: 0.0000 0.0000 0.0000  8 Pt 2.78
Ga: 0.1254 0.6254 0.0000  6 Pt 2.54-2.57, 1 Tm 2.73
Pt: 0.0000 0.5000 0.5000  4 Ga 2.54
Pt: 0.0649 0.7976 0.5000  2 Ga 2.57, 2 Zn 2.78

Values from the calculation:
DFT formation energy (eV/atom): -0.852
Raw total energy (eV per formula unit): -55.00
Crystal system: tetragonal

=====

(4)
Here is an optimized crystal structure of Er8Cd2Au from the Alexandria database. Energies are from PBE-GGA.

abc: 17.8428 5.1813 6.8901
angles: 90.00 106.06 90.00
With the nearest neighbours (Å) after each atom.
Space group C2/m (No. 12)
Unique sites:
Er: 0.0212 0.0000 0.2711  1 Cd 3.04, 2 Au 3.11, 2 Er 3.38
Er: 0.0918 0.5000 0.9493  1 Au 3.08, 2 Cd 3.36, 3 Er 3.38-3.43
Er: 0.1590 0.5000 0.4657  1 Au 2.91, 3 Cd 3.00-3.19
Er: 0.2017 0.0000 0.8063  1 Cd 2.96
Cd: 0.1855 0.0000 0.2227  5 Er 2.96-3.19
Au: 0.0000 0.5000 0.5000  8 Er 2.91-3.11

Values from the calculation:
DFT formation energy (eV/atom): -0.216
Raw total energy (eV per formula unit): -43.99
Crystal system: monoclinic

=====

(5)
Here is an optimized crystal structure of BaSrNd2Se4 from the Alexandria database. Energies are from PBE-GGA.

abc: 7.5359 4.3477 7.7285
angles: 90.00 108.95 90.00
With the nearest neighbours (Å) after each atom.
Space group P2/m (No. 10)
Unique sites:
Ba: 0.0000 0.0000 0.0000  6 Se 3.21-3.22
Sr: 0.5000 0.5000 0.0000  6 Se 3.15-3.16
Nd: 0.0000 0.5000 0.5000  6 Se 3.06
Nd: 0.5000 0.0000 0.5000  6 Se 3.00
Se: 0.2519 0.0000 0.7348  3 Nd 3.00-3.06, 2 Sr 3.15, 1 Ba 3.21
Se: 0.2635 0.5000 0.2710  3 Nd 3.00-3.06, 1 Sr 3.16, 2 Ba 3.22

Values from the calculation:
Raw total energy (eV per formula unit): -42.35
Crystal system: monoclinic
E_form (uncorrected) (eV per atom): -1.91

=====

(6)
Here is an optimized crystal structure of PdPt2Au from the Alexandria database. Energies are from PBE-GGA.

abc: 7.2468 7.2468 5.3954
angles: 90.00 90.00 90.00
With the nearest neighbours (Å) after each atom.
Space group I-42d (No. 122)
Unique sites:
Pd: 0.0000 0.0000 0.0000  4 Pt 2.61, 2 Au 2.70
Pt: 0.2428 0.2500 0.1250  2 Pd 2.61, 2 Au 2.69, 2 Pt 2.70
Au: 0.0000 0.0000 0.5000  4 Pt 2.69, 2 Pd 2.70

Values from the calculation:
DFT formation energy (eV/atom): 0.364
Raw total energy (eV per formula unit): -19.09
Polymorph energy (0 for the lowest one) (eV per atom): 0.354
Crystal system: tetragonal

=====

(7)
Here is an optimized crystal structure of CaZn2Fe from the Alexandria database. Energies are from PBE-GGA.

abc: 3.0360 4.0512 6.2546
angles: 90.00 103.83 90.00
With the nearest neighbours (Å) after each atom.
Space group Pm (No. 6)
Unique sites:
Ca: 0.0000 0.0000 0.0000  5 Zn 2.86-3.06, 2 Ca 3.04
Zn: 0.2432 0.0000 0.4712  2 Zn 2.51, 4 Fe 2.62-2.63
Zn: 0.3609 0.5000 0.7163  2 Zn 2.51, 2 Fe 2.65
Fe: 0.6847 0.5000 0.3588  6 Zn 2.62-2.65

Values from the calculation:
DFT formation energy (eV/atom): 0.171
Raw total energy (eV per formula unit): -12.33
Crystal system: monoclinic

=====

(8)
Here is an optimized crystal structure of IrOsRh from the Alexandria database. Energies are from PBE-GGA.

abc: 2.7450 14.3331 4.3801
angles: 90.00 90.00 90.00
With the nearest neighbours (Å) after each atom.
Space group Cmcm (No. 63)
Unique sites:
Ir: 0.0000 0.1094 0.2500  4 Rh 2.69-2.82, 6 Os 2.70-2.73, 2 Ir 2.75
Os: 0.0000 0.4445 0.2500  6 Ir 2.70-2.73, 4 Os 2.71-2.75, 2 Rh 2.71
Rh: 0.0000 0.2188 0.7500  4 Ir 2.69-2.82, 2 Os 2.71, 6 Rh 2.73-2.75

Values from the calculation:
DFT formation energy (eV/atom): 0.010
Raw total energy (eV per formula unit): -27.41
Polymorph energy (0 for the lowest one) (eV per atom): 0.011
Crystal system: orthorhombic

=====

(9)
Here is an optimized crystal structure of YSb2Os from the Alexandria database. Energies are from PBE-GGA.

abc: 4.3492 4.3492 17.4826
angles: 90.00 90.00 120.00
With the nearest neighbours (Å) after each atom.
Space group R3m (No. 160, hexagonal axes)
Unique sites:
Y: 0.0000 0.0000 0.0000  6 Sb 3.04-3.20, 1 Os 3.22
Sb: 0.0000 0.0000 0.2198  3 Os 2.80
Sb: 0.0000 0.0000 0.4318  3 Os 2.66
Os: 0.0000 0.0000 0.8156  6 Sb 2.66-2.80

Values from the calculation:
Raw total energy (eV per formula unit): -27.17
Polymorph energy (0 for the lowest one) (eV per atom): 0.000
Crystal system: trigonal
E_form (uncorrected) (eV per atom): -0.31

=====

(10)
Here is an optimized crystal structure of Li2Mg from the Alexandria database. Energies are from PBE-GGA.

abc: 8.5504 8.5504 2.9818
angles: 90.00 90.00 120.00
With the nearest neighbours (Å) after each atom.
Space group P-62m (No. 189)
Unique sites:
Li: 0.0000 0.3111 0.0000  4 Mg 2.95-3.05, 8 Li 2.98-3.23
Li: 0.0000 0.6447 0.5000  8 Li 2.98-3.23, 5 Mg 3.04-3.14
Mg: 0.0000 0.0000 0.5000  2 Mg 2.98, 9 Li 3.04-3.05
Mg: 0.3333 0.6667 0.0000  9 Li 2.95-3.14, 2 Mg 2.98

Values from the calculation:
DFT formation energy (eV/atom): -0.006
Raw total energy (eV per formula unit): -5.44
Crystal system: hexagonal

=====

(11)
Here is an optimized crystal structure of SmZr2CrN4 from the Alexandria database. Energies are from PBE-GGA.

abc: 3.2684 11.2162 11.0957
angles: 90.00 90.00 90.00
With the nearest neighbours (Å) after each atom.
Space group Cmcm (No. 63)
Unique sites:
Sm: 0.0000 0.0991 0.2500  6 N 2.49-2.65
Zr: 0.0000 0.3687 0.0449  6 N 2.16-2.38
Cr: 0.0000 0.1626 0.7500  4 N 1.85-1.95
N: 0.0000 0.0000 0.0000  4 Zr 2.26
N: 0.0000 0.2665 0.6202  1 Cr 1.85
N: 0.0000 0.4318 0.2500  2 Cr 1.95

Values from the calculation:
Raw total energy (eV per formula unit): -75.15
Crystal system: orthorhombic
E_form (uncorrected) (eV per atom): -1.30

=====

(12)
Here is an optimized crystal structure of DyHPd2 from the Alexandria database. Energies are from PBE-GGA.

abc: 3.0969 3.0969 22.6413
angles: 90.00 90.00 120.00
With the nearest neighbours (Å) after each atom.
Space group R-3m (No. 166, hexagonal axes)
Unique sites:
Dy: 0.0000 0.0000 0.0000  2 Pd 2.66
H: 0.0000 0.0000 0.5000  6 Pd 2.11
Pd: 0.0000 0.0000 0.1174  3 H 2.11

Values from the calculation:
Raw total energy (eV per formula unit): -18.18
Crystal system: trigonal

=====

Computed total magnetization, in the same sequence as the records: 5.77, 0.00, 0.00, 0.00, 0.00, 0.00, 2.42, 0.00, 0.00, 0.00, 0.00, 0.00 μB per formula unit.
Computed Fermi-level density of states, in the same sequence as the records: 0.889, 1.083, 0.511, 0.979, 0.465, 1.274, 0.833, 0.953, 0.630, 0.376, 0.502, 0.610 states/eV/atom.